Compound: AcTbBiO6
Source: Alexandria via LeMat-Bulk
Functional: PBE
Structure: optimized geometry

abc: 5.8637 5.8637 5.2259
angles: 90.00 90.00 120.00
Space group P312 (No. 149)
Unique sites:
Ac 0.0000 0.0000 0.0000
Tb 0.3333 0.6667 0.5000
Bi 0.6667 0.3333 0.5000
O 0.3650 0.0194 0.7228

Properties
As for the total energy: -6.85 eV per atom. The crystal system is trigonal. The total magnetization comes out at 1.1 Bohr magnetons per cell.